Entry A
Below is crystalline Ca2NdZn2 at its relaxed geometry, with properties calculated at the PBE level.

The structure in POSCAR format:
```
Ca2NdZn2
1.0
-2.462 1.118 -2.544
-2.106 -4.854 -0.097
-7.788 3.146 11.634
Ca Nd Zn
4 2 4
Direct
0.043 0.750 0.087
0.957 0.250 0.913
0.222 0.750 0.445
0.778 0.250 0.555
0.863 0.750 0.727
0.137 0.250 0.273
0.632 0.750 0.264
0.368 0.250 0.736
0.450 0.750 0.899
0.550 0.250 0.101
```

Crystal system = monoclinic
SG = P2_1/m
Fermi-level density of states = 4.03 states/eV/f.u.

---

Entry B
Below is crystalline Ca2NdZn2 at its relaxed geometry, with properties calculated at the PBE level.

The structure in POSCAR format:
```
Ca2NdZn2
1.0
-2.598 -3.915 -0.500
1.693 -0.406 -5.620
7.090 -5.744 8.131
Ca Nd Zn
4 2 4
Direct
0.250 0.764 0.875
0.750 0.236 0.125
0.250 0.295 0.544
0.750 0.705 0.456
0.250 0.807 0.210
0.750 0.193 0.790
0.250 0.895 0.651
0.750 0.105 0.349
0.250 0.345 0.969
0.750 0.655 0.031
```

Crystal system = monoclinic
SG = P2_1/m
Fermi-level density of states = 4.44 states/eV/f.u.

---

Top of the stability list: entry A, leading by 5.9 kJ/mol of atoms.

---

Entry A
Below is crystalline CaNd2Zr at its relaxed geometry, with properties calculated at the PBE level.

The structure in POSCAR format:
```
CaNd2Zr
1.0
-1.042 1.199 3.175
2.035 -0.543 2.858
5.988 10.588 -0.047
Ca Nd Zr
1 2 1
Direct
0.500 0.500 0.501
0.074 0.074 0.777
0.259 0.259 0.222
0.667 0.667 0.000
```

Crystal system = trigonal
SG = R3m
Fermi-level density of states = 5.12 states/eV/f.u.

---

Entry B
Below is crystalline CaNd2Zr at its relaxed geometry, with properties calculated at the PBE level.

The structure in POSCAR format:
```
CaNd2Zr
1.0
3.565 0.000 0.000
0.000 3.565 0.000
0.000 0.000 10.328
Ca Nd Zr
1 2 1
Direct
0.500 0.500 0.500
0.000 0.000 0.782
0.000 0.000 0.218
0.500 0.500 0.000
```

Crystal system = tetragonal
SG = P4/mmm
Fermi-level density of states = 5.73 states/eV/f.u.

---

Top of the stability list: entry B, leading by 2.8 kJ/mol of atoms.

---

Entry A
Below is crystalline Ca4Ni5 at its relaxed geometry, with properties calculated at the PBE level.

The structure in POSCAR format:
```
Ca4Ni5
1.0
8.260 0.000 0.000
-4.130 7.153 0.000
0.000 0.000 5.786
Ni Ca
10 8
Direct
0.000 0.692 0.250
0.308 0.308 0.250
0.692 0.000 0.250
0.000 0.308 0.750
0.692 0.692 0.750
0.308 0.000 0.750
0.667 0.333 0.000
0.333 0.667 0.500
0.333 0.667 0.000
0.667 0.333 0.500
0.000 0.000 0.000
0.000 0.000 0.500
0.000 0.375 0.250
0.625 0.625 0.250
0.375 0.000 0.250
0.000 0.625 0.750
0.375 0.375 0.750
0.625 0.000 0.750
```

Crystal system = hexagonal
SG = P6_3/mcm
Fermi-level density of states = 8.91 states/eV/f.u.

---

Entry B
Below is crystalline Ca4Ni5 at its relaxed geometry, with properties calculated at the PBE level.

The structure in POSCAR format:
```
Ca4Ni5
1.0
-4.611 4.611 2.123
4.611 -4.611 2.123
4.611 4.611 -2.123
Ca Ni
4 5
Direct
0.715 0.000 0.715
0.285 0.000 0.285
0.000 0.285 0.285
0.000 0.715 0.715
0.000 0.000 0.000
0.634 0.366 0.000
0.366 0.634 0.000
0.366 0.366 0.732
0.634 0.634 0.268
```

Crystal system = tetragonal
SG = I4/mmm
Fermi-level density of states = 9.36 states/eV/f.u.

---

Top of the stability list: entry B, leading by 10.9 kJ/mol of atoms.